No. 1
A relaxed structure of Sc3Ni5Se12, computed with PBE-GGA.

Cell: 12.902 12.902 12.902 Å, 109.47 109.47 109.47°
Element x y z (fractional)
1 Sc 0.125 0.875 0.750
2 Ni 0.375 0.125 0.750
3 Ni 0.625 0.875 0.250
4 Ni 0.750 0.125 0.875
5 Se 0.034 0.410 0.827
6 Se 0.534 0.208 0.124
7 Se 0.966 0.590 0.173
8 Se 0.208 0.673 0.084
9 Se 0.292 0.876 0.966
10 Sc 0.375 0.750 0.625
11 Se 0.466 0.673 0.090
12 Se 0.624 0.590 0.916
13 Se 0.327 0.534 0.410
14 Se 0.376 0.966 0.792
15 Ni 0.000 0.000 0.000
16 Se 0.708 0.124 0.034
17 Sc 0.375 0.625 0.250
18 Se 0.792 0.466 0.376
19 Se 0.910 0.827 0.534
20 Sc 0.625 0.250 0.375
21 Se 0.673 0.208 0.584
22 Se 0.173 0.090 0.966
23 Se 0.827 0.916 0.292
24 Se 0.673 0.466 0.590
25 Ni 0.500 0.000 0.000
26 Se 0.584 0.708 0.673
27 Se 0.292 0.416 0.827
28 Se 0.584 0.876 0.410
29 Se 0.173 0.084 0.708
30 Se 0.876 0.584 0.910
31 Sc 0.875 0.750 0.125
32 Ni 0.500 0.000 0.500
33 Se 0.084 0.910 0.376
34 Se 0.410 0.376 0.584
35 Ni 0.500 0.500 0.000
36 Se 0.034 0.624 0.708
37 Sc 0.750 0.375 0.125
38 Sc 0.250 0.625 0.875
39 Se 0.327 0.792 0.416
40 Sc 0.250 0.125 0.375
41 Se 0.624 0.034 0.208
42 Se 0.590 0.966 0.673
43 Se 0.534 0.327 0.910
44 Se 0.410 0.034 0.327
45 Se 0.466 0.792 0.876
46 Se 0.827 0.910 0.034
47 Se 0.792 0.327 0.916
48 Ni 0.000 0.000 0.500
49 Se 0.416 0.124 0.590
50 Se 0.916 0.090 0.624
51 Ni 0.250 0.875 0.125
52 Se 0.084 0.173 0.208
53 Se 0.966 0.376 0.292
54 Se 0.916 0.827 0.792
55 Se 0.416 0.292 0.327
56 Sc 0.750 0.875 0.625
57 Ni 0.125 0.750 0.375
58 Ni 0.875 0.250 0.625
59 Ni 0.625 0.750 0.875
60 Se 0.090 0.916 0.124
61 Ni 0.000 0.500 0.500
62 Se 0.090 0.173 0.466
63 Sc 0.125 0.250 0.875
64 Se 0.124 0.708 0.534
65 Se 0.208 0.534 0.624
66 Ni 0.750 0.625 0.375
67 Ni 0.250 0.375 0.625
68 Ni 0.500 0.500 0.500
69 Se 0.910 0.084 0.876
70 Sc 0.625 0.375 0.750
71 Se 0.876 0.292 0.466
72 Ni 0.375 0.250 0.125
73 Se 0.708 0.584 0.173
74 Ni 0.000 0.500 0.000
75 Se 0.376 0.410 0.084
76 Ni 0.125 0.375 0.250
77 Sc 0.875 0.125 0.250
78 Se 0.124 0.416 0.090
79 Se 0.590 0.624 0.416
80 Ni 0.875 0.625 0.750

Values from the calculation:
DFT total energy: -410.4 eV for the cell shown
V: 20.66 Å³ per atom
Raw formation energy: -0.645 eV/atom
Space group: No. 230

No. 2
A relaxed structure of Sc2NiSe, computed with PBE-GGA.

Cell: 8.030 8.030 8.030 Å, 27.54 27.54 27.54°
Element x y z (fractional)
1 Sc 0.892 0.892 0.892
2 Ni 0.500 0.500 0.500
3 Sc 0.108 0.108 0.108
4 Se 0.000 0.000 0.000

Values from the calculation:
DFT total energy: -23.6 eV for the cell shown
V: 24.43 Å³ per atom
Raw formation energy: -0.405 eV/atom
Space group: No. 166

No. 3
A relaxed structure of ScNi2Se, computed with PBE-GGA.

Cell: 3.654 3.475 5.122 Å, 70.24 90.00 90.00°
Element x y z (fractional)
1 Ni 0.000 0.800 0.028
2 Se 0.500 0.946 0.730
3 Ni 0.500 0.210 0.207
4 Sc 0.000 0.543 0.535

Values from the calculation:
DFT total energy: -23.3 eV for the cell shown
V: 15.30 Å³ per atom
Raw formation energy: -0.480 eV/atom
Space group: No. 6